# PmPrTh2S4

A geometry-optimized PmPrTh2S4 structure (PBE-GGA, the Alexandria database).

- E_form (uncorrected) (eV/f.u.) = -15.374
- total energy (Ry/atom) = -0.5168
- magnetization (Bohr magnetons per cell) = 0.000
- theoretical density (Mg/m³) = 7.738
- space group = P2/m (10)

Cell and atoms, written as extended XYZ:
```
8
Lattice="-1.0072 1.9790 3.4070 -1.2234 -6.0846 3.1727 6.7469 1.8220 0.9363" Properties=species:S:1:pos:R:3 pbc="T T T"
Th 2.7618 -2.1313 2.0545
Th 2.8698 1.9005 2.1716
S 4.7550 -0.1705 1.5048
S 0.8819 -0.0932 2.7420
S 3.6344 -2.1903 4.7739
S 0.7685 -4.0921 2.6042
Pm -1.1153 -2.0528 3.2898
Pr 0.0000 0.0000 0.0000
```